[1]
Computed, not measured: a geometry-optimized EuTlCdGe structure at the PBE level of DFT.

Output
ΔE_f (kJ/mol of formula units): -82

The structure in POSCAR format:
```
EuTlCdGe
1.0
5.261 0.000 0.000
2.630 4.556 0.000
2.630 1.519 4.295
Cd Eu Ge Tl
1 1 1 1
Cartesian
0.000 0.000 0.000
5.261 3.037 2.148
2.630 1.519 1.074
7.891 4.556 3.222
```

[2]
Computed, not measured: a geometry-optimized CdPdN2 structure at the PBE level of DFT.

Output
E_form (uncorrected) (eV/atom): 1.242

The structure in POSCAR format:
```
CdPdN2
1.0
5.166 0.547 4.028
5.933 -1.972 2.030
6.393 1.140 1.016
N Pd Cd
2 1 1
Cartesian
1.745 -0.028 0.706
15.746 -0.256 6.367
0.000 0.000 0.000
8.746 -0.142 3.537
```

no.,VASP energy (eV for the cell shown),density (Mg/m³),D(E_F) (states/eV per atom)
1,-19.0,8.73,0.864
2,-17.8,6.89,0.770